[1]
# GGA-PBE PmAs2PdRh2, relaxed
data_PmAs2PdRh2
_cell_length_a 4.3263
_cell_length_b 4.3263
_cell_length_c 6.5716
_cell_angle_alpha 90.00
_cell_angle_beta 90.00
_cell_angle_gamma 120.00
_symmetry_space_group_name_H-M 'P -3 m 1'
_symmetry_Int_Tables_number 164
_symmetry_space_group_name_Hall '-P 3 2"'
loop_
_atom_site_label
_atom_site_fract_x
_atom_site_fract_y
_atom_site_fract_z
Pm1 0.0000 0.0000 0.0000
As1 0.3333 0.6667 0.2754
Pd1 0.0000 0.0000 0.5000
Rh1 0.3333 0.6667 0.6722
# DOS(E_F): 0.807 states/eV per atom
# ΔH_f (0 K): -0.77 eV per atom

---

[2]
# GGA-PBE Pm3As4Pd2Rh2, relaxed
data_Pm3As4Pd2Rh2
_cell_length_a 4.2469
_cell_length_b 4.2469
_cell_length_c 14.6432
_cell_angle_alpha 90.00
_cell_angle_beta 90.00
_cell_angle_gamma 120.00
_symmetry_space_group_name_H-M 'P -3 m 1'
_symmetry_Int_Tables_number 164
_symmetry_space_group_name_Hall '-P 3 2"'
loop_
_atom_site_label
_atom_site_fract_x
_atom_site_fract_y
_atom_site_fract_z
Pm1 0.0000 0.0000 0.0000
Pm2 0.0000 0.0000 0.2770
As1 0.3333 0.6667 0.3972
As2 0.3333 0.6667 0.8682
Pd1 0.3333 0.6667 0.1454
Rh1 0.3333 0.6667 0.5641
# DOS(E_F): 0.554 states/eV per atom
# ΔH_f (0 K): -1.03 eV per atom

---

[3]
# GGA-PBE Pm2SbAs3Pd4, relaxed
data_Pm2SbAs3Pd4
_cell_length_a 4.273
_cell_length_b 4.273
_cell_length_c 11.088
_cell_angle_alpha 90.00
_cell_angle_beta 90.00
_cell_angle_gamma 90.00
_symmetry_space_group_name_H-M 'P -4 m 2'
_symmetry_Int_Tables_number 115
loop_
_symmetry_equiv_pos_as_xyz
'x,y,z'
'y,-x,-z'
'-x,-y,z'
'-y,x,-z'
'-x,y,z'
'-y,-x,-z'
'x,-y,z'
'y,x,-z'
loop_
_atom_site_label
_atom_site_fract_x
_atom_site_fract_y
_atom_site_fract_z
Pm1 0.000 0.500 0.223
Sb1 0.000 0.000 0.500
As1 0.000 0.500 0.868
As2 0.500 0.500 0.500
Pd1 0.000 0.000 0.000
Pd2 0.000 0.500 0.647
Pd3 0.500 0.500 0.000
# DOS(E_F): 0.540 states/eV per atom
# E_form (uncorrected): -0.8277 eV per atom

---

[4]
# GGA-PBE Pm2ScAs4Pd3, relaxed
data_Pm2ScAs4Pd3
_cell_length_a 4.371
_cell_length_b 4.371
_cell_length_c 10.701
_cell_angle_alpha 90.00
_cell_angle_beta 90.00
_cell_angle_gamma 90.00
_symmetry_space_group_name_H-M 'P -4 m 2'
_symmetry_Int_Tables_number 115
loop_
_symmetry_equiv_pos_as_xyz
'x,y,z'
'y,-x,-z'
'-x,-y,z'
'-y,x,-z'
'-x,y,z'
'-y,-x,-z'
'x,-y,z'
'y,x,-z'
loop_
_atom_site_label
_atom_site_fract_x
_atom_site_fract_y
_atom_site_fract_z
Pm1 0.000 0.500 0.225
Sc1 0.000 0.000 0.500
As1 0.000 0.000 0.000
As2 0.000 0.500 0.644
As3 0.500 0.500 0.000
Pd1 0.000 0.500 0.875
Pd2 0.500 0.500 0.500
# DOS(E_F): 0.275 states/eV per atom
# ΔH_f (0 K): -0.94 eV per atom

---

[5]
# GGA-PBE PmSmAsPd, relaxed
data_PmSmAsPd
_cell_length_a 7.233
_cell_length_b 7.233
_cell_length_c 7.233
_cell_angle_alpha 90.00
_cell_angle_beta 90.00
_cell_angle_gamma 90.00
_symmetry_space_group_name_H-M 'F -4 3 m'
_symmetry_Int_Tables_number 216
_symmetry_space_group_name_Hall 'F -4 2 3'
loop_
_atom_site_label
_atom_site_fract_x
_atom_site_fract_y
_atom_site_fract_z
Pm1 0.000 0.000 0.000
Sm1 0.000 0.000 0.500
As1 0.250 0.250 0.250
Pd1 0.250 0.250 0.750
# DOS(E_F): 0.958 states/eV per atom
# ΔH_f (0 K): -0.88 eV per atom

---

[6]
# GGA-PBE Pm2SnAs3Pd4, relaxed
data_Pm2SnAs3Pd4
_cell_length_a 4.241
_cell_length_b 4.241
_cell_length_c 11.173
_cell_angle_alpha 90.00
_cell_angle_beta 90.00
_cell_angle_gamma 90.00
_symmetry_space_group_name_H-M 'P -4 m 2'
_symmetry_Int_Tables_number 115
loop_
_symmetry_equiv_pos_as_xyz
'x,y,z'
'y,-x,-z'
'-x,-y,z'
'-y,x,-z'
'-x,y,z'
'-y,-x,-z'
'x,-y,z'
'y,x,-z'
loop_
_atom_site_label
_atom_site_fract_x
_atom_site_fract_y
_atom_site_fract_z
Pm1 0.000 0.500 0.226
Sn1 0.000 0.000 0.500
As1 0.000 0.500 0.868
As2 0.500 0.500 0.500
Pd1 0.000 0.000 0.000
Pd2 0.000 0.500 0.649
Pd3 0.500 0.500 0.000
# DOS(E_F): 0.450 states/eV per atom
# ΔH_f (0 K): -0.84 eV per atom